# Co2SiHRh

Co2SiHRh after structural relaxation (GGA-PBE, Alexandria).

Results
electronic total energy	-0.46520	Ry/atom
SG	P4/mmm, No. 123
DOS(E_F)	0.863	states/eV/atom
M_tot	0.00	μB per cell

a b c (Å): 3.6008 3.6008 3.7561
angles (deg): 90.00 90.00 90.00
Positions (direct):
Co 0.0000 0.5000 0.0000
Co 0.5000 0.0000 0.0000
Si 0.0000 0.0000 0.5000
H 0.5000 0.5000 0.0000
Rh 0.5000 0.5000 0.5000